Record 1
The following is a DFT calculation (PBE-GGA) of a geometry-optimized Li2Ta structure.

The structure belongs to space group P-3m1 (No. 164); the cell edges are 2.8243, 2.8243 and 7.8288 Å and the angles 90.00°, 90.00° and 120.00°. The asymmetric unit holds Li at (0.3333, 0.6667, 0.3265) and Ta at (0.0000, 0.0000, 0.0000).

Its formation energy is 0.28 eV per atom. For the volume, the calculation gives 18.0 A^3/atom. The density of states at the Fermi level is 0.86 states/eV per atom. Its offset from the most stable computed form is 0 meV/atom. As for the total DFT energy (no corrections): -14.84 eV per cell. The calculation puts the magnetization at 0.000 μB/cell.


Record 2
The following is a DFT calculation (PBE-GGA) of a geometry-optimized Fe5Ni4Pt2 structure.

The structure belongs to space group C2/m (No. 12); the cell edges are 8.832, 5.195 and 7.286 Å and the angles 90.00°, 121.63° and 90.00°. The asymmetric unit holds Fe at (0.000, 0.000, 0.000), Fe at (0.176, 0.277, 0.672), Ni at (0.067, 0.000, 0.359), Ni at (0.235, 0.500, 0.024) and Pt at (0.077, 0.500, 0.291).

Its formation energy is 0.04 eV per atom. For the volume, the calculation gives 12.9 A^3/atom. The density of states at the Fermi level is 0.58 states/eV per atom. As for the total DFT energy (no corrections): -154.17 eV per cell. The calculation puts the magnetization at 35.966 μB/cell.


Record 3
The following is a DFT calculation (PBE-GGA) of a geometry-optimized Rb3Np2InSe6 structure.

The structure belongs to space group C2/m (No. 12); the cell edges are 7.599, 13.132 and 8.235 Å and the angles 90.00°, 107.77° and 90.00°. The asymmetric unit holds Rb at (0.000, 0.000, 0.000), Rb at (0.000, 0.343, 0.000), Np at (0.000, 0.168, 0.500), In at (0.000, 0.500, 0.500), Se at (0.205, 0.000, 0.691) and Se at (0.246, 0.320, 0.695).

For the volume, the calculation gives 32.6 A^3/atom. The value obtained for the energy relative to the elements, uncorrected is -1094 meV per atom. The density of states at the Fermi level is 1.52 states/eV per atom. As for the total DFT energy (no corrections): -131.12 eV per cell. The calculation puts the magnetization at 12.488 μB/cell.


Record 4
The following is a DFT calculation (PBE-GGA) of a geometry-optimized Ho5TmCu4 structure.

The structure belongs to space group P4/mmm (No. 123); the cell edges are 3.455, 3.455 and 18.866 Å and the angles 90.00°, 90.00° and 90.00°. The asymmetric unit holds Ho at (0.000, 0.000, 0.000), Ho at (0.000, 0.000, 0.184), Ho at (0.000, 0.000, 0.366), Tm at (0.500, 0.500, 0.500), Cu at (0.500, 0.500, 0.091) and Cu at (0.500, 0.500, 0.275).

Its formation energy is -0.20 eV per atom. For the volume, the calculation gives 22.5 A^3/atom. The density of states at the Fermi level is 0.78 states/eV per atom. As for the total DFT energy (no corrections): -45.76 eV per cell. The calculation puts the magnetization at 0.000 μB/cell.


Record 5
The following is a DFT calculation (PBE-GGA) of a geometry-optimized Ba2As3Au5 structure.

The structure belongs to space group Ibam (No. 72); the cell edges are 10.745, 13.273 and 6.749 Å and the angles 90.00°, 90.00° and 90.00°. The asymmetric unit holds Ba at (0.238, 0.125, 0.000), As at (0.000, 0.000, 0.250), As at (0.143, 0.376, 0.000), Au at (0.000, 0.277, 0.250), Au at (0.000, 0.500, 0.250) and Au at (0.114, 0.125, 0.500).

Its formation energy is -0.54 eV per atom. For the volume, the calculation gives 24.1 A^3/atom. The density of states at the Fermi level is 0.39 states/eV per atom. Its offset from the most stable computed form is 0 meV/atom. As for the total DFT energy (no corrections): -158.23 eV per cell. The calculation puts the magnetization at 0.000 μB/cell.


Record 6
The following is a DFT calculation (PBE-GGA) of a geometry-optimized SrLi2BiCl structure.

The structure belongs to space group P4/mmm (No. 123); the cell edges are 4.867, 4.867 and 5.719 Å and the angles 90.00°, 90.00° and 90.00°. The asymmetric unit holds Sr at (0.000, 0.000, 0.000), Li at (0.000, 0.500, 0.500), Bi at (0.500, 0.500, 0.000) and Cl at (0.000, 0.000, 0.500).

For the volume, the calculation gives 27.1 A^3/atom. The value obtained for the energy relative to the elements, uncorrected is -1018 meV per atom. The density of states at the Fermi level is 0.09 states/eV per atom. As for the total DFT energy (no corrections): -16.33 eV per cell. The calculation puts the magnetization at 0.000 μB/cell.


Record 7
The following is a DFT calculation (PBE-GGA) of a geometry-optimized Re2TeRuC structure.

The structure belongs to space group P4/mmm (No. 123); the cell edges are 4.021, 4.021 and 4.763 Å and the angles 90.00°, 90.00° and 90.00°. The asymmetric unit holds Re at (0.000, 0.500, 0.000), Te at (0.000, 0.000, 0.500), Ru at (0.500, 0.500, 0.500) and C at (0.000, 0.000, 0.000).

For the volume, the calculation gives 15.4 A^3/atom. The value obtained for the energy relative to the elements, uncorrected is 1025 meV per atom. The density of states at the Fermi level is 1.07 states/eV per atom. Its offset from the most stable computed form is 0 meV/atom. As for the total DFT energy (no corrections): -41.41 eV per cell. The calculation puts the magnetization at 0.000 μB/cell.


Record 8
The following is a DFT calculation (PBE-GGA) of a geometry-optimized BeTcCl2 structure.

The structure belongs to space group I-4m2 (No. 119); the cell edges are 3.493, 3.493 and 11.229 Å and the angles 90.00°, 90.00° and 90.00°. The asymmetric unit holds Be at (0.000, 0.000, 0.000), Tc at (0.000, 0.500, 0.250), Cl at (0.000, 0.000, 0.500) and Cl at (0.000, 0.500, 0.750).

For the volume, the calculation gives 17.1 A^3/atom. The value obtained for the energy relative to the elements, uncorrected is 744 meV per atom. The density of states at the Fermi level is 0.73 states/eV per atom. Its offset from the most stable computed form is 998 meV/atom. As for the total DFT energy (no corrections): -29.62 eV per cell. The calculation puts the magnetization at 4.922 μB/cell.